No. 1
First-principles (PBE) data for a relaxed BeInFe3 crystal, as listed in Alexandria.

Polymorph energy (0 for the lowest one): 1.524 eV/atom
Calculated formation energy: 1906 meV/atom
D(E_F): 1.409 states/eV/atom
ρ: 4.6 g/cm3

abc: 4.729 4.729 4.729
angles: 90.00 90.00 90.00
Fractional positions:
Be  0.000  0.000  0.000
In  0.500  0.500  0.500
Fe  0.000  0.500  0.500
Fe  0.500  0.000  0.500
Fe  0.500  0.500  0.000

No. 2
First-principles (PBE) data for a relaxed HfV2MoBr crystal, as listed in Alexandria.

D(E_F): 0.890 states/eV/atom
Formation energy from raw total energies: 6.4 eV per formula unit
ρ: 7.2 g/cm3

abc: 4.613 4.613 4.940
angles: 90.00 90.00 90.00
Fractional positions:
Hf  0.000  0.000  0.000
V  0.000  0.500  0.500
V  0.500  0.000  0.500
Mo  0.500  0.500  0.500
Br  0.500  0.500  0.000

No. 3
First-principles (PBE) data for a relaxed ReSeN2Cl crystal, as listed in Alexandria.

Polymorph energy (0 for the lowest one): 0.000 eV/atom
D(E_F): 0.476 states/eV/atom
Formation energy from raw total energies: 2.5 eV per formula unit
ρ: 6.8 g/cm3

abc: 3.836 3.836 5.477
angles: 90.00 90.00 90.00
Fractional positions:
Re  0.000  0.000  0.000
Se  0.000  0.000  0.500
N  0.000  0.500  0.000
N  0.500  0.000  0.000
Cl  0.500  0.500  0.500

No. 4
First-principles (PBE) data for a relaxed PmS2 crystal, as listed in Alexandria.

Polymorph energy (0 for the lowest one): 0.078 eV/atom
D(E_F): 0.534 states/eV/atom
Formation energy from raw total energies: -5.0 eV per formula unit
ρ: 4.9 g/cm3

abc: 7.205 7.664 5.131
angles: 90.00 90.00 90.00
Fractional positions:
Pm  0.244  0.046  0.250
Pm  0.244  0.454  0.750
Pm  0.756  0.546  0.250
Pm  0.756  0.954  0.750
S  0.106  0.108  0.750
S  0.106  0.392  0.250
S  0.443  0.750  0.000
S  0.443  0.750  0.500
S  0.557  0.250  0.000
S  0.557  0.250  0.500
S  0.894  0.608  0.750
S  0.894  0.892  0.250

No. 5
First-principles (PBE) data for a relaxed In24Pb5 crystal, as listed in Alexandria.

Calculated formation energy: 28 meV/atom
D(E_F): 0.413 states/eV/atom
ρ: 7.7 g/cm3

abc: 10.196 10.196 10.196
angles: 109.47 109.47 109.47
Fractional positions:
In  0.000  0.315  0.592
In  0.000  0.592  0.315
In  0.000  0.618  0.808
In  0.000  0.808  0.618
In  0.190  0.382  0.382
In  0.192  0.192  0.810
In  0.192  0.810  0.192
In  0.277  0.685  0.685
In  0.315  0.000  0.592
In  0.315  0.592  0.000
In  0.382  0.190  0.382
In  0.382  0.382  0.190
In  0.408  0.408  0.723
In  0.408  0.723  0.408
In  0.592  0.000  0.315
In  0.592  0.315  0.000
In  0.618  0.000  0.808
In  0.618  0.808  0.000
In  0.685  0.277  0.685
In  0.685  0.685  0.277
In  0.723  0.408  0.408
In  0.808  0.000  0.618
In  0.808  0.618  0.000
In  0.810  0.192  0.192
Pb  0.000  0.000  0.000
Pb  0.000  0.000  0.345
Pb  0.000  0.345  0.000
Pb  0.345  0.000  0.000
Pb  0.655  0.655  0.655

No. 6
First-principles (PBE) data for a relaxed PrPa2Ge crystal, as listed in Alexandria.

Polymorph energy (0 for the lowest one): 0.000 eV/atom
Calculated formation energy: -112 meV/atom
D(E_F): 1.791 states/eV/atom
ρ: 11.4 g/cm3

abc: 4.427 4.427 5.023
angles: 90.00 90.00 90.00
Fractional positions:
Pr  0.000  0.000  0.000
Pa  0.000  0.500  0.500
Pa  0.500  0.000  0.500
Ge  0.500  0.500  0.000

no.,magnetic moment (Bohr magnetons per cell)
1,8.2
2,2.8
3,0.0
4,0.0
5,0.0
6,0.0